{"formula": "LiSiCl", "functional": "GGA-PBE", "state": "optimized geometry", "magnetic_moment_mub_per_cell": 0.0, "spacegroup": "P3m1, No. 156", "volume_a3_per_atom": 19.56, "e_above_lowest_polymorph_mev_per_atom": 750.1, "e_form_raw_ev_per_atom": -0.22, "dft_energy_ev_per_atom": -3.282, "lattice_angstrom": [[3.2458, 0.0000, 0.0000], [-1.6229, 2.8110, 0.0000], [0.0000, 0.0000, 6.4323]], "species": ["Li", "Si", "Cl"], "fractional_positions": [[0.0000, 0.0000, 0.0000], [0.6667, 0.3333, 0.3927], [0.3333, 0.6667, 0.8080]]}

=====

{"formula": "Li2HfPt5", "functional": "GGA-PBE", "state": "optimized geometry", "magnetic_moment_mub_per_cell": 0.0, "spacegroup": "I4/mmm, No. 139", "volume_a3_per_atom": 14.75, "delta_e_f_mev_per_atom": -781, "dft_energy_ev_per_atom": -6.279, "lattice_angstrom": [[4.0974, 0.0000, 0.0000], [0.0000, 4.0974, 0.0000], [0.0000, 0.0000, 14.0526]], "species": ["Li", "Li", "Li", "Li", "Hf", "Hf", "Pt", "Pt", "Pt", "Pt", "Pt", "Pt", "Pt", "Pt", "Pt", "Pt"], "fractional_positions": [[0.0000, 0.0000, 0.2489], [0.0000, 0.0000, 0.7511], [0.5000, 0.5000, 0.2511], [0.5000, 0.5000, 0.7489], [0.0000, 0.0000, 0.0000], [0.5000, 0.5000, 0.5000], [0.0000, 0.0000, 0.5000], [0.0000, 0.5000, 0.1376], [0.0000, 0.5000, 0.3624], [0.0000, 0.5000, 0.6376], [0.0000, 0.5000, 0.8624], [0.5000, 0.0000, 0.1376], [0.5000, 0.0000, 0.3624], [0.5000, 0.0000, 0.6376], [0.5000, 0.0000, 0.8624], [0.5000, 0.5000, 0.0000]]}

=====

{"formula": "Mn2OsPt", "functional": "GGA-PBE", "state": "optimized geometry", "magnetic_moment_mub_per_cell": 6.8, "spacegroup": "I4/mmm, No. 139", "volume_a3_per_atom": 13.32, "delta_e_f_mev_per_atom": -24, "dft_energy_ev_per_atom": -8.926, "lattice_angstrom": [[3.8088, 0.0000, 0.0000], [0.0000, 3.8088, 0.0000], [0.0000, 0.0000, 7.3449]], "species": ["Mn", "Mn", "Mn", "Mn", "Os", "Os", "Pt", "Pt"], "fractional_positions": [[0.0000, 0.5000, 0.2500], [0.0000, 0.5000, 0.7500], [0.5000, 0.0000, 0.2500], [0.5000, 0.0000, 0.7500], [0.0000, 0.0000, 0.0000], [0.5000, 0.5000, 0.5000], [0.0000, 0.0000, 0.5000], [0.5000, 0.5000, 0.0000]]}

=====

{"formula": "Y8Ru2Rh", "functional": "GGA-PBE", "state": "optimized geometry", "magnetic_moment_mub_per_cell": 0.0, "spacegroup": "Cm, No. 8", "volume_a3_per_atom": 26.83, "delta_e_f_mev_per_atom": -281, "dft_energy_ev_per_atom": -7.337, "lattice_angstrom": [[4.1722, -6.3167, 0.0000], [4.1722, 6.3167, 0.0000], [-1.9639, 0.0000, 5.6000]], "species": ["Y", "Y", "Y", "Y", "Y", "Y", "Y", "Y", "Ru", "Ru", "Rh"], "fractional_positions": [[0.0000, 0.0000, 0.0000], [0.0207, 0.2816, 0.5969], [0.1495, 0.5759, 0.1894], [0.2816, 0.0207, 0.5969], [0.4371, 0.6967, 0.7907], [0.5759, 0.1495, 0.1894], [0.6967, 0.4371, 0.7907], [0.7236, 0.7236, 0.3782], [0.0467, 0.6669, 0.6888], [0.6669, 0.0467, 0.6888], [0.3646, 0.3646, 0.0582]]}